1.
Here is a relaxed TbYPbO2 crystal from Alexandria. Energies are from PBE-GGA.

```
TbYPbO2
1.0
3.8629 0.0000 0.0000
0.0000 3.8629 0.0000
-1.9314 -1.9314 7.1126
O Y Pb Tb
2 1 1 1
Direct
0.2499 0.7499 0.4998
0.7499 0.2499 0.4998
0.1706 0.1706 0.3412
0.5004 0.5004 0.0007
0.8293 0.8293 0.6586
```

Computed properties:
The formation energy from raw total energies comes out at -2.54 eV per atom. Its total energy is -7.486 eV/atom.

***

2.
Here is a relaxed Ca2TiN crystal from Alexandria. Energies are from PBE-GGA.

```
Ca2TiN
1.0
-3.3407 -0.2320 -9.2054
7.0640 -6.3464 -2.4036
0.6632 -4.8022 -5.3315
Ca N Ti
4 2 2
Direct
0.4578 0.1250 0.2500
0.3750 0.5422 0.7500
0.8750 0.7078 0.7500
0.2922 0.6250 0.2500
0.5000 0.5000 0.0000
0.2500 0.7500 0.5000
0.7500 0.2500 0.5000
0.0000 0.0000 0.0000
```

Computed properties:
The formation energy from raw total energies comes out at -0.35 eV per atom. Its total energy is -5.404 eV/atom.

***

3.
Here is a relaxed BePtPb2 crystal from Alexandria. Energies are from PBE-GGA.

```
BePtPb2
1.0
3.7071 0.0000 0.0000
0.0000 4.4077 0.0021
0.0000 2.2087 5.2129
Be Pb Pt
1 2 1
Direct
0.5000 0.5584 0.7518
0.0000 0.9788 0.9145
0.5000 0.2809 0.3167
0.0000 0.6818 0.5169
```

Computed properties:
Its formation enthalpy at 0 K is -6.05 kJ/mol of atoms. Its total energy is -4.359 eV/atom.